1.
Entry from Alexandria: crystalline CuTc at its relaxed geometry (PBE-GGA).

## Properties
Its total energy is -6.979 eV per atom. Its energy above the most stable polymorph in this dataset is 31 kJ/mol of formula units. The value obtained for the formation energy is 0.50 eV/f.u.

CIF file:
```
data_CuTc
_chemical_formula_sum 'Cu3 Tc3'
_space_group_name_H-M_alt 'P 1'
_space_group_IT_number 1
_cell_length_a 2.641
_cell_length_b 2.641
_cell_length_c 13.393
_cell_angle_alpha 90.00
_cell_angle_beta 90.00
_cell_angle_gamma 120.00
loop_
_space_group_symop_operation_xyz
'x,y,z'
loop_
_atom_site_label
_atom_site_type_symbol
_atom_site_fract_x
_atom_site_fract_y
_atom_site_fract_z
Cu1 Cu 0.000 0.000 0.000
Cu2 Cu 0.333 0.667 0.667
Cu3 Cu 0.667 0.333 0.333
Tc1 Tc 0.000 0.000 0.500
Tc2 Tc 0.333 0.667 0.167
Tc3 Tc 0.667 0.333 0.833
```

=====

2.
Entry from Alexandria: crystalline Th8Te4As3Os at its relaxed geometry (PBE-GGA).

## Properties
The energy relative to the elements, uncorrected is -1.15 eV per atom. Its total energy is -7.222 eV per atom.

CIF file:
```
data_Th8Te4As3Os
_chemical_formula_sum 'Th8 Te4 As3 Os1'
_space_group_name_H-M_alt 'P 1'
_space_group_IT_number 1
_cell_length_a 8.878
_cell_length_b 8.878
_cell_length_c 8.878
_cell_angle_alpha 58.29
_cell_angle_beta 58.29
_cell_angle_gamma 58.29
loop_
_space_group_symop_operation_xyz
'x,y,z'
loop_
_atom_site_label
_atom_site_type_symbol
_atom_site_fract_x
_atom_site_fract_y
_atom_site_fract_z
Th1 Th 0.240 0.240 0.240
Th2 Th 0.253 0.730 0.730
Th3 Th 0.270 0.270 0.747
Th4 Th 0.270 0.747 0.270
Th5 Th 0.730 0.253 0.730
Th6 Th 0.730 0.730 0.253
Th7 Th 0.747 0.270 0.270
Th8 Th 0.760 0.760 0.760
Te1 Te 0.000 0.000 0.000
Te2 Te 0.000 0.500 0.500
Te3 Te 0.500 0.000 0.500
Te4 Te 0.500 0.500 0.000
As1 As 0.000 0.000 0.500
As2 As 0.000 0.500 0.000
As3 As 0.500 0.000 0.000
Os1 Os 0.500 0.500 0.500
```

=====

3.
Entry from Alexandria: crystalline SrTc2Ir at its relaxed geometry (PBE-GGA).

## Properties
Its total energy is -7.160 eV per atom. Its energy above the most stable polymorph in this dataset is 107 kJ/mol of formula units. The value obtained for the formation energy is 2.63 eV/f.u.

CIF file:
```
data_SrTc2Ir
_chemical_formula_sum 'Sr1 Tc2 Ir1'
_space_group_name_H-M_alt 'P 1'
_space_group_IT_number 1
_cell_length_a 3.296
_cell_length_b 4.709
_cell_length_c 5.787
_cell_angle_alpha 90.00
_cell_angle_beta 102.45
_cell_angle_gamma 90.00
loop_
_space_group_symop_operation_xyz
'x,y,z'
loop_
_atom_site_label
_atom_site_type_symbol
_atom_site_fract_x
_atom_site_fract_y
_atom_site_fract_z
Sr1 Sr 0.000 0.000 0.000
Tc1 Tc 0.290 0.500 0.645
Tc2 Tc 0.710 0.500 0.355
Ir1 Ir 0.500 0.000 0.500
```

=====

4.
Entry from Alexandria: crystalline KBa2TlO at its relaxed geometry (PBE-GGA).

## Properties
The energy relative to the elements, uncorrected is -1.01 eV per atom. Its total energy is -3.466 eV per atom.

CIF file:
```
data_KBa2TlO
_chemical_formula_sum 'K1 Ba2 Tl1 O1'
_space_group_name_H-M_alt 'P 1'
_space_group_IT_number 1
_cell_length_a 5.451
_cell_length_b 5.451
_cell_length_c 5.733
_cell_angle_alpha 90.00
_cell_angle_beta 90.00
_cell_angle_gamma 90.00
loop_
_space_group_symop_operation_xyz
'x,y,z'
loop_
_atom_site_label
_atom_site_type_symbol
_atom_site_fract_x
_atom_site_fract_y
_atom_site_fract_z
K1 K 0.000 0.000 0.000
Ba1 Ba 0.000 0.500 0.500
Ba2 Ba 0.500 0.000 0.500
Tl1 Tl 0.500 0.500 0.000
O1 O 0.000 0.000 0.500
```

=====

5.
Entry from Alexandria: crystalline HfCdHg2 at its relaxed geometry (PBE-GGA).

## Properties
Its total energy is -2.825 eV per atom. The value obtained for the formation energy is 0.17 eV/f.u.

CIF file:
```
data_HfCdHg2
_chemical_formula_sum 'Hf3 Cd3 Hg6'
_space_group_name_H-M_alt 'P 1'
_space_group_IT_number 1
_cell_length_a 3.210
_cell_length_b 3.210
_cell_length_c 29.913
_cell_angle_alpha 90.00
_cell_angle_beta 90.00
_cell_angle_gamma 120.00
loop_
_space_group_symop_operation_xyz
'x,y,z'
loop_
_atom_site_label
_atom_site_type_symbol
_atom_site_fract_x
_atom_site_fract_y
_atom_site_fract_z
Hf1 Hf 0.000 0.000 0.000
Hf2 Hf 0.333 0.667 0.667
Hf3 Hf 0.667 0.333 0.333
Cd1 Cd 0.000 0.000 0.833
Cd2 Cd 0.333 0.667 0.500
Cd3 Cd 0.667 0.333 0.167
Hg1 Hg 0.000 0.000 0.252
Hg2 Hg 0.000 0.000 0.415
Hg3 Hg 0.333 0.667 0.082
Hg4 Hg 0.333 0.667 0.918
Hg5 Hg 0.667 0.333 0.585
Hg6 Hg 0.667 0.333 0.748
```

=====

6.
Entry from Alexandria: crystalline KMg2In4 at its relaxed geometry (PBE-GGA).

## Properties
Its total energy is -2.254 eV per atom. The value obtained for the formation energy is -0.54 eV/f.u.

CIF file:
```
data_KMg2In4
_chemical_formula_sum 'K2 Mg4 In8'
_space_group_name_H-M_alt 'P 1'
_space_group_IT_number 1
_cell_length_a 8.023
_cell_length_b 8.023
_cell_length_c 5.926
_cell_angle_alpha 90.00
_cell_angle_beta 90.00
_cell_angle_gamma 90.00
loop_
_space_group_symop_operation_xyz
'x,y,z'
loop_
_atom_site_label
_atom_site_type_symbol
_atom_site_fract_x
_atom_site_fract_y
_atom_site_fract_z
K1 K 0.000 0.000 0.000
K2 K 0.500 0.500 0.500
Mg1 Mg 0.000 0.500 0.250
Mg2 Mg 0.000 0.500 0.750
Mg3 Mg 0.500 0.000 0.250
Mg4 Mg 0.500 0.000 0.750
In1 In 0.195 0.195 0.500
In2 In 0.195 0.805 0.500
In3 In 0.305 0.305 0.000
In4 In 0.305 0.695 0.000
In5 In 0.695 0.305 0.000
In6 In 0.695 0.695 0.000
In7 In 0.805 0.195 0.500
In8 In 0.805 0.805 0.500
```

=====

no.,volume (Å³/cell),density of states at the Fermi level (states/eV per cell)
1,80.9,3.43
2,475.4,12.71
3,87.7,5.36
4,170.4,4.46
5,267.0,11.81
6,381.5,7.79